[1]
# FeAsC | the Alexandria database | PBE | optimized geometry
data_FeAsC
_chemical_formula_sum 'Fe2 As2 C2'
_symmetry_space_group_name_H-M 'P 1'
_symmetry_Int_Tables_number 1
_symmetry_space_group_name_Hall 'P 1'
_cell_length_a 2.6162
_cell_length_b 2.6162
_cell_length_c 10.4791
_cell_angle_alpha 90.00
_cell_angle_beta 90.00
_cell_angle_gamma 90.00
loop_
_atom_site_label
_atom_site_fract_x
_atom_site_fract_y
_atom_site_fract_z
C1 0.0000 0.0000 0.0270
C2 0.5000 0.5000 0.5270
As1 0.0000 0.0000 0.8206
As2 0.5000 0.5000 0.3206
Fe1 0.0000 0.0000 0.5847
Fe2 0.5000 0.5000 0.0847
# E, eV per cell: -41.3
# Magnetization, μB/cell: 1.0
# Formation enthalpy at 0 K, eV per atom: 0.56
# Offset from the most stable computed form, eV/atom: 0.124

[2]
# Tb2NiP | the Alexandria database | PBE | optimized geometry
data_Tb2NiP
_chemical_formula_sum 'Tb2 Ni1 P1'
_symmetry_space_group_name_H-M 'P 1'
_symmetry_Int_Tables_number 1
_symmetry_space_group_name_Hall 'P 1'
_cell_length_a 3.7642
_cell_length_b 3.7642
_cell_length_c 8.6643
_cell_angle_alpha 77.45
_cell_angle_beta 77.45
_cell_angle_gamma 60.00
loop_
_atom_site_label
_atom_site_fract_x
_atom_site_fract_y
_atom_site_fract_z
Ni1 0.0000 0.0000 0.0000
Tb1 0.1013 0.1013 0.6961
Tb2 0.8987 0.8987 0.3039
P1 0.5000 0.5000 0.5000
# E, eV per cell: -21.3
# Magnetization, μB/cell: 0.0
# Formation enthalpy at 0 K, eV per atom: -0.22

[3]
# Pm2TmF | the Alexandria database | PBE | optimized geometry
data_Pm2TmF
_chemical_formula_sum 'Pm2 Tm1 F1'
_symmetry_space_group_name_H-M 'P 1'
_symmetry_Int_Tables_number 1
_symmetry_space_group_name_Hall 'P 1'
_cell_length_a 3.7632
_cell_length_b 3.7632
_cell_length_c 8.8408
_cell_angle_alpha 77.71
_cell_angle_beta 77.71
_cell_angle_gamma 60.00
loop_
_atom_site_label
_atom_site_fract_x
_atom_site_fract_y
_atom_site_fract_z
F1 0.0000 0.0000 0.0000
Tm1 0.5000 0.5000 0.5000
Pm1 0.7234 0.7234 0.8298
Pm2 0.2766 0.2766 0.1702
# E, eV per cell: -20.4
# Magnetization, μB/cell: 0.0
# Formation energy from raw total energies, meV/atom: -1132